1.
Material: BaLi2Pt2
Method: DFT, PBEsol
State: relaxed

Cell and atoms, written as POSCAR:
```
BaLi2Pt2
1.0
4.299 0.000 0.000
0.000 4.299 0.000
-2.149 -2.149 5.485
Pt Ba Li
2 1 2
Direct
0.382 0.382 0.763
0.618 0.618 0.237
0.000 0.000 0.000
0.250 0.750 0.500
0.750 0.250 0.500
```

Crystal system   tetragonal
Formation enthalpy at 0 K   -0.47 eV/atom
D(E_F)   0.8 states/eV per cell
Final energy   -4.47 eV/atom
Space-group type   I4/mmm, No. 139

=====

2.
Material: BaLiPt2
Method: DFT, PBEsol
State: relaxed

Cell and atoms, written as POSCAR:
```
BaLiPt2
1.0
4.288 0.000 0.000
0.000 4.288 0.000
-2.144 -2.144 4.341
Li Ba Pt
1 1 2
Direct
0.000 0.500 0.000
0.500 0.000 0.000
0.750 0.750 0.500
0.250 0.250 0.500
```

Crystal system   tetragonal
Formation enthalpy at 0 K   -0.21 eV/atom
D(E_F)   1.3 states/eV per cell
Final energy   -4.72 eV/atom
Space-group type   I4/mmm, No. 139

=====

3.
Material: BaLiPt2
Method: DFT, PBEsol
State: relaxed

Cell and atoms, written as POSCAR:
```
BaLiPt2
1.0
-4.017 2.678 0.539
-4.217 -2.143 1.108
-1.945 0.601 4.411
Li Pt Ba
1 2 1
Direct
0.250 0.250 0.250
0.750 0.750 0.750
0.000 0.000 0.000
0.500 0.500 0.500
```

Crystal system   cubic
Formation enthalpy at 0 K   -0.17 eV/atom
D(E_F)   2.6 states/eV per cell
Final energy   -4.68 eV/atom
Space-group type   F-43m, No. 216

=====

4.
Material: BaLiPt4
Method: DFT, PBEsol
State: relaxed

Cell and atoms, written as POSCAR:
```
BaLiPt4
1.0
5.426 0.000 0.000
2.713 4.699 0.000
2.713 1.566 4.430
Pt Ba Li
4 1 1
Direct
0.374 0.374 0.877
0.374 0.374 0.374
0.374 0.877 0.374
0.877 0.374 0.374
0.750 0.750 0.750
0.000 0.000 0.000
```

Crystal system   cubic
Formation enthalpy at 0 K   -0.55 eV/atom
D(E_F)   1.4 states/eV per cell
Final energy   -5.87 eV/atom
Space-group type   F-43m, No. 216

=====

5.
Material: Ba3LiPt
Method: DFT, PBEsol
State: relaxed

Cell and atoms, written as POSCAR:
```
Ba3LiPt
1.0
6.164 0.000 0.000
0.000 6.164 0.000
0.000 0.000 6.164
Ba Pt Li
3 1 1
Direct
0.500 0.000 0.000
0.000 0.000 0.500
0.000 0.500 0.000
0.000 0.000 0.000
0.500 0.500 0.500
```

Crystal system   cubic
Formation enthalpy at 0 K   -0.29 eV/atom
D(E_F)   3.0 states/eV per cell
Final energy   -3.37 eV/atom
Space-group type   Pm-3m, No. 221

=====

6.
Material: BaLi2Re
Method: DFT, PBEsol
State: relaxed

Cell and atoms, written as POSCAR:
```
BaLi2Re
1.0
2.850 0.000 0.000
-1.425 4.982 0.029
0.000 -0.555 5.874
Re Ba Li
1 1 2
Direct
0.000 0.000 0.500
0.500 0.000 0.000
0.735 0.470 0.669
0.265 0.530 0.331
```

Crystal system   monoclinic
Formation enthalpy at 0 K   0.78 eV/atom
D(E_F)   3.1 states/eV per cell
Final energy   -4.08 eV/atom
Space-group type   C2/m, No. 12

=====

7.
Material: BaLi2Re
Method: DFT, PBEsol
State: relaxed

Cell and atoms, written as POSCAR:
```
BaLi2Re
1.0
-3.066 -0.559 -0.546
1.215 -2.859 -3.894
0.209 -4.280 3.208
Re Li Ba
1 2 1
Direct
0.500 0.000 0.500
0.000 0.000 0.000
0.500 0.500 0.000
0.000 0.500 0.500
```

Crystal system   orthorhombic
Formation enthalpy at 0 K   1.02 eV/atom
D(E_F)   3.1 states/eV per cell
Final energy   -3.83 eV/atom
Space-group type   Pmmm, No. 47

=====

8.
Material: Ba2LiRe
Method: DFT, PBEsol
State: relaxed

Cell and atoms, written as POSCAR:
```
Ba2LiRe
1.0
4.801 0.000 0.000
0.000 4.801 0.000
-2.400 -2.400 9.858
Li Ba Re
2 4 2
Direct
0.500 0.500 0.000
0.750 0.250 0.500
0.877 0.375 0.250
0.125 0.123 0.750
0.625 0.627 0.750
0.373 0.875 0.250
0.250 0.750 0.500
0.000 0.000 0.000
```

Crystal system   tetragonal
Formation enthalpy at 0 K   1.37 eV/atom
D(E_F)   5.5 states/eV per cell
Final energy   -3.53 eV/atom
Space-group type   I-42d, No. 122

=====

9.
Material: BaLi2Re
Method: DFT, PBEsol
State: relaxed

Cell and atoms, written as POSCAR:
```
BaLi2Re
1.0
-1.735 0.588 2.249
2.845 -3.620 3.141
3.027 5.765 -1.043
Li Re Ba
2 1 1
Direct
0.200 0.200 0.401
0.800 0.800 0.599
0.500 0.000 0.000
0.000 0.500 0.000
```

Crystal system   orthorhombic
Formation enthalpy at 0 K   0.84 eV/atom
D(E_F)   3.7 states/eV per cell
Final energy   -4.01 eV/atom
Space-group type   Immm, No. 71

=====

10.
Material: Ba2LiRe
Method: DFT, PBEsol
State: relaxed

Cell and atoms, written as POSCAR:
```
Ba2LiRe
1.0
5.336 0.000 0.000
2.668 4.621 0.000
2.668 1.540 4.357
Ba Li Re
2 1 1
Direct
0.750 0.750 0.750
0.250 0.250 0.250
0.000 0.000 0.000
0.500 0.500 0.500
```

Crystal system   cubic
Formation enthalpy at 0 K   0.90 eV/atom
D(E_F)   4.6 states/eV per cell
Final energy   -4.00 eV/atom
Space-group type   Fm-3m, No. 225

=====

11.
Material: BaLi2Rh
Method: DFT, PBEsol
State: relaxed

Cell and atoms, written as POSCAR:
```
BaLi2Rh
1.0
-0.604 0.995 3.203
4.267 -1.420 1.245
2.179 4.672 -2.138
Li Ba Rh
2 1 1
Direct
0.706 0.000 0.838
0.294 0.000 0.162
0.000 0.500 0.500
0.500 0.500 0.000
```

Crystal system   monoclinic
Formation enthalpy at 0 K   0.14 eV/atom
D(E_F)   2.7 states/eV per cell
Final energy   -3.41 eV/atom
Space-group type   P2/m, No. 10

=====

12.
Material: BaLiRh2
Method: DFT, PBEsol
State: relaxed

Cell and atoms, written as POSCAR:
```
BaLiRh2
1.0
-2.002 -1.955 1.222
0.995 -2.437 1.547
-0.394 3.761 9.192
Rh Ba Li
2 1 1
Direct
0.003 0.003 0.990
0.735 0.735 0.796
0.492 0.492 0.525
0.271 0.271 0.188
```

Crystal system   trigonal
Formation enthalpy at 0 K   0.65 eV/atom
D(E_F)   4.5 states/eV per cell
Final energy   -4.45 eV/atom
Space-group type   R3m, No. 160